## BeGaPS2 (meta-GGA SCAN)

Data for a crystal of BeGaPS2 relaxed with PBEsol.

Summary:
Total magnetization = 0.00 Bohr magnetons per cell
DOS(E_F) = 0.8754 states/eV/atom
Raw total energy = -45.20 eV per formula unit
Uncorrected formation energy = 5.16 eV/f.u.

a = 4.6037 Å, b = 4.6037 Å, c = 4.5956 Å
α = 90.00°, β = 90.00°, γ = 90.00°
Closest atoms and distances in Å follow each position.
Element x y z (fractional)
P 0.0000 0.0000 0.5000  2 Ga 2.30
S 0.0000 0.5000 0.0000  2 Ga 2.30
S 0.5000 0.0000 0.0000  2 Ga 2.30
Ga 0.0000 0.0000 0.0000  2 P 2.30, 4 S 2.30
Be 0.5000 0.5000 0.5000  8 S 3.25, 4 P 3.26